No. 1
SbTeP2 at its PBEsol-relaxed geometry, computed with SCAN.

Cell and atoms, written as CIF:
```
data_SbTeP2
_space_group_name_H-M_alt 'P 4/m m m'
_space_group_IT_number 123
_space_group_name_Hall '-P 4 2'
_cell_length_a 4.8117
_cell_length_b 4.8117
_cell_length_c 3.4416
_cell_angle_alpha 90.00
_cell_angle_beta 90.00
_cell_angle_gamma 90.00
loop_
_atom_site_label
_atom_site_type_symbol
_atom_site_fract_x
_atom_site_fract_y
_atom_site_fract_z
Sb1 Sb 0.0000 0.0000 0.0000
Te1 Te 0.5000 0.5000 0.0000
P1 P 0.0000 0.5000 0.5000
```

Results
crystal system	tetragonal
volume	19.921	Å³/atom
total DFT energy (no corrections)	-0.8512	hartree per atom
E above lowest polymorph	0.454	eV/atom

---

No. 2
TlSb2TeP at its PBEsol-relaxed geometry, computed with SCAN.

Cell and atoms, written as CIF:
```
data_TlSb2TeP
_space_group_name_H-M_alt 'P 4/m m m'
_space_group_IT_number 123
_space_group_name_Hall '-P 4 2'
_cell_length_a 5.2516
_cell_length_b 5.2516
_cell_length_c 5.1972
_cell_angle_alpha 90.00
_cell_angle_beta 90.00
_cell_angle_gamma 90.00
loop_
_atom_site_label
_atom_site_type_symbol
_atom_site_fract_x
_atom_site_fract_y
_atom_site_fract_z
Tl1 Tl 0.0000 0.0000 0.0000
Sb1 Sb 0.0000 0.5000 0.5000
Te1 Te 0.5000 0.5000 0.0000
P1 P 0.5000 0.5000 0.5000
```

Results
crystal system	tetragonal
volume	28.667	Å³/atom
total DFT energy (no corrections)	-1.4133	hartree per atom

---

No. 3
ZrSb2TeP at its PBEsol-relaxed geometry, computed with SCAN.

Cell and atoms, written as CIF:
```
data_ZrSb2TeP
_space_group_name_H-M_alt 'P 4/m m m'
_space_group_IT_number 123
_space_group_name_Hall '-P 4 2'
_cell_length_a 5.4846
_cell_length_b 5.4846
_cell_length_c 5.3746
_cell_angle_alpha 90.00
_cell_angle_beta 90.00
_cell_angle_gamma 90.00
loop_
_atom_site_label
_atom_site_type_symbol
_atom_site_fract_x
_atom_site_fract_y
_atom_site_fract_z
Zr1 Zr 0.0000 0.0000 0.0000
Sb1 Sb 0.0000 0.5000 0.0000
Te1 Te 0.0000 0.0000 0.5000
P1 P 0.5000 0.5000 0.5000
```

Results
crystal system	tetragonal
volume	32.335	Å³/atom
total DFT energy (no corrections)	-1.0991	hartree per atom

---

No. 4
Ti3SbP at its PBEsol-relaxed geometry, computed with SCAN.

Cell and atoms, written as CIF:
```
data_Ti3SbP
_space_group_name_H-M_alt 'P m -3 m'
_space_group_IT_number 221
_space_group_name_Hall '-P 4 2 3'
_cell_length_a 4.9662
_cell_length_b 4.9662
_cell_length_c 4.9662
_cell_angle_alpha 90.00
_cell_angle_beta 90.00
_cell_angle_gamma 90.00
loop_
_atom_site_label
_atom_site_type_symbol
_atom_site_fract_x
_atom_site_fract_y
_atom_site_fract_z
Ti1 Ti 0.0000 0.0000 0.5000
Sb1 Sb 0.0000 0.0000 0.0000
P1 P 0.5000 0.5000 0.5000
```

Results
crystal system	cubic
volume	24.496	Å³/atom
total DFT energy (no corrections)	-0.6718	hartree per atom

---

No. 5
Ti2SbP2 at its PBEsol-relaxed geometry, computed with SCAN.

Cell and atoms, written as CIF:
```
data_Ti2SbP2
_space_group_name_H-M_alt 'I 4/m m m'
_space_group_IT_number 139
_space_group_name_Hall '-I 4 2'
_cell_length_a 3.4943
_cell_length_b 3.4943
_cell_length_c 13.2203
_cell_angle_alpha 90.00
_cell_angle_beta 90.00
_cell_angle_gamma 90.00
loop_
_atom_site_label
_atom_site_type_symbol
_atom_site_fract_x
_atom_site_fract_y
_atom_site_fract_z
Ti1 Ti 0.0000 0.0000 0.1140
Sb1 Sb 0.0000 0.0000 0.5000
P1 P 0.0000 0.5000 0.2500
```

Results
crystal system	tetragonal
volume	16.142	Å³/atom
total DFT energy (no corrections)	-0.6882	hartree per atom
E above lowest polymorph	0.000	eV/atom

---

No. 6
Ti2SbP2 at its PBEsol-relaxed geometry, computed with SCAN.

Cell and atoms, written as CIF:
```
data_Ti2SbP2
_space_group_name_H-M_alt 'P 4/m b m'
_space_group_IT_number 127
_space_group_name_Hall '-P 4 2ab'
_cell_length_a 7.1307
_cell_length_b 7.1307
_cell_length_c 3.1880
_cell_angle_alpha 90.00
_cell_angle_beta 90.00
_cell_angle_gamma 90.00
loop_
_atom_site_label
_atom_site_type_symbol
_atom_site_fract_x
_atom_site_fract_y
_atom_site_fract_z
Ti1 Ti 0.1490 0.3510 0.0000
Sb1 Sb 0.0000 0.0000 0.0000
P1 P 0.1342 0.6342 0.5000
```

Results
crystal system	tetragonal
volume	16.210	Å³/atom
total DFT energy (no corrections)	-0.6866	hartree per atom
E above lowest polymorph	0.043	eV/atom

---

No. 7
TlSb2P at its PBEsol-relaxed geometry, computed with SCAN.

Cell and atoms, written as CIF:
```
data_TlSb2P
_space_group_name_H-M_alt 'R 3 m'
_space_group_IT_number 160
_space_group_name_Hall 'R 3 -2"'
_cell_length_a 3.7081
_cell_length_b 3.7081
_cell_length_c 25.8650
_cell_angle_alpha 90.00
_cell_angle_beta 90.00
_cell_angle_gamma 120.00
loop_
_atom_site_label
_atom_site_type_symbol
_atom_site_fract_x
_atom_site_fract_y
_atom_site_fract_z
Tl1 Tl 0.0000 0.0000 0.0000
Sb1 Sb 0.0000 0.0000 0.5246
Sb2 Sb 0.0000 0.0000 0.7636
P1 P 0.0000 0.0000 0.2496
```

Results
crystal system	trigonal
volume	25.666	Å³/atom
total DFT energy (no corrections)	-1.4371	hartree per atom
E above lowest polymorph	0.000	eV/atom

---

No. 8
TlSbP2 at its PBEsol-relaxed geometry, computed with SCAN.

Cell and atoms, written as CIF:
```
data_TlSbP2
_space_group_name_H-M_alt 'P 4/m m m'
_space_group_IT_number 123
_space_group_name_Hall '-P 4 2'
_cell_length_a 4.9304
_cell_length_b 4.9304
_cell_length_c 3.3534
_cell_angle_alpha 90.00
_cell_angle_beta 90.00
_cell_angle_gamma 90.00
loop_
_atom_site_label
_atom_site_type_symbol
_atom_site_fract_x
_atom_site_fract_y
_atom_site_fract_z
Tl1 Tl 0.0000 0.0000 0.0000
Sb1 Sb 0.5000 0.5000 0.0000
P1 P 0.0000 0.5000 0.5000
```

Results
crystal system	tetragonal
volume	20.379	Å³/atom
total DFT energy (no corrections)	-1.1740	hartree per atom
E above lowest polymorph	0.432	eV/atom

---

No. 9
Tl2SbP2 at its PBEsol-relaxed geometry, computed with SCAN.

Cell and atoms, written as CIF:
```
data_Tl2SbP2
_space_group_name_H-M_alt 'I 4/m m m'
_space_group_IT_number 139
_space_group_name_Hall '-I 4 2'
_cell_length_a 3.2763
_cell_length_b 3.2763
_cell_length_c 22.4137
_cell_angle_alpha 90.00
_cell_angle_beta 90.00
_cell_angle_gamma 90.00
loop_
_atom_site_label
_atom_site_type_symbol
_atom_site_fract_x
_atom_site_fract_y
_atom_site_fract_z
Tl1 Tl 0.0000 0.0000 0.1176
Sb1 Sb 0.0000 0.0000 0.5000
P1 P 0.0000 0.5000 0.2500
```

Results
crystal system	tetragonal
volume	24.059	Å³/atom
total DFT energy (no corrections)	-1.4835	hartree per atom

---

No. 10
TlSbP2 at its PBEsol-relaxed geometry, computed with SCAN.

Cell and atoms, written as CIF:
```
data_TlSbP2
_space_group_name_H-M_alt 'R -3 m'
_space_group_IT_number 166
_space_group_name_Hall '-R 3 2"'
_cell_length_a 3.8937
_cell_length_b 3.8937
_cell_length_c 19.8330
_cell_angle_alpha 90.00
_cell_angle_beta 90.00
_cell_angle_gamma 120.00
loop_
_atom_site_label
_atom_site_type_symbol
_atom_site_fract_x
_atom_site_fract_y
_atom_site_fract_z
Tl1 Tl 0.0000 0.0000 0.0000
Sb1 Sb 0.0000 0.0000 0.5000
P1 P 0.0000 0.0000 0.2444
```

Results
crystal system	trigonal
volume	21.700	Å³/atom
total DFT energy (no corrections)	-1.1899	hartree per atom
E above lowest polymorph	0.000	eV/atom

---

No. 11
TlSb2P at its PBEsol-relaxed geometry, computed with SCAN.

Cell and atoms, written as CIF:
```
data_TlSb2P
_space_group_name_H-M_alt 'P 4/m m m'
_space_group_IT_number 123
_space_group_name_Hall '-P 4 2'
_cell_length_a 4.4141
_cell_length_b 4.4141
_cell_length_c 4.9610
_cell_angle_alpha 90.00
_cell_angle_beta 90.00
_cell_angle_gamma 90.00
loop_
_atom_site_label
_atom_site_type_symbol
_atom_site_fract_x
_atom_site_fract_y
_atom_site_fract_z
Tl1 Tl 0.0000 0.0000 0.0000
Sb1 Sb 0.0000 0.5000 0.5000
P1 P 0.5000 0.5000 0.0000
```

Results
crystal system	tetragonal
volume	24.165	Å³/atom
total DFT energy (no corrections)	-1.4266	hartree per atom
E above lowest polymorph	0.285	eV/atom

---

No. 12
Tl3SbP at its PBEsol-relaxed geometry, computed with SCAN.

Cell and atoms, written as CIF:
```
data_Tl3SbP
_space_group_name_H-M_alt 'P m -3 m'
_space_group_IT_number 221
_space_group_name_Hall '-P 4 2 3'
_cell_length_a 5.2448
_cell_length_b 5.2448
_cell_length_c 5.2448
_cell_angle_alpha 90.00
_cell_angle_beta 90.00
_cell_angle_gamma 90.00
loop_
_atom_site_label
_atom_site_type_symbol
_atom_site_fract_x
_atom_site_fract_y
_atom_site_fract_z
Tl1 Tl 0.0000 0.0000 0.5000
Sb1 Sb 0.5000 0.5000 0.5000
P1 P 0.0000 0.0000 0.0000
```

Results
crystal system	cubic
volume	28.855	Å³/atom
total DFT energy (no corrections)	-1.9320	hartree per atom

---

No. 13
TlSb2P at its PBEsol-relaxed geometry, computed with SCAN.

Cell and atoms, written as CIF:
```
data_TlSb2P
_space_group_name_H-M_alt 'P m m m'
_space_group_IT_number 47
_cell_length_a 3.0520
_cell_length_b 3.5712
_cell_length_c 9.3254
_cell_angle_alpha 90.00
_cell_angle_beta 90.00
_cell_angle_gamma 90.00
loop_
_space_group_symop_operation_xyz
'x,y,z'
'-x,-y,-z'
'-x,-y,z'
'x,y,-z'
'x,-y,-z'
'-x,y,z'
'-x,y,-z'
'x,-y,z'
loop_
_atom_site_label
_atom_site_type_symbol
_atom_site_fract_x
_atom_site_fract_y
_atom_site_fract_z
Tl1 Tl 0.0000 0.0000 0.0000
Sb1 Sb 0.5000 0.5000 0.2842
P1 P 0.5000 0.0000 0.5000
```

Results
crystal system	orthorhombic
volume	25.411	Å³/atom
total DFT energy (no corrections)	-1.4360	hartree per atom
E above lowest polymorph	0.029	eV/atom

---

No. 14
TlSbP2 at its PBEsol-relaxed geometry, computed with SCAN.

Cell and atoms, written as CIF:
```
data_TlSbP2
_space_group_name_H-M_alt 'C 1 m 1'
_space_group_IT_number 8
_cell_length_a 9.8836
_cell_length_b 3.2266
_cell_length_c 6.1393
_cell_angle_alpha 90.00
_cell_angle_beta 113.40
_cell_angle_gamma 90.00
loop_
_space_group_symop_operation_xyz
'x,y,z'
'x,-y,z'
'x+1/2,y+1/2,z'
'x+1/2,-y+1/2,z'
loop_
_atom_site_label
_atom_site_type_symbol
_atom_site_fract_x
_atom_site_fract_y
_atom_site_fract_z
Tl1 Tl 0.0000 0.0000 0.0000
Sb1 Sb 0.3167 0.5000 0.3308
P1 P 0.0668 0.5000 0.6225
P2 P 0.2258 0.0000 0.6370
```

Results
crystal system	monoclinic
volume	22.460	Å³/atom
total DFT energy (no corrections)	-1.1883	hartree per atom
E above lowest polymorph	0.042	eV/atom

---

No. 15
SbP2W at its PBEsol-relaxed geometry, computed with SCAN.

Cell and atoms, written as CIF:
```
data_SbP2W
_space_group_name_H-M_alt 'C 1 m 1'
_space_group_IT_number 8
_cell_length_a 8.1488
_cell_length_b 3.2392
_cell_length_c 5.7584
_cell_angle_alpha 90.00
_cell_angle_beta 96.19
_cell_angle_gamma 90.00
loop_
_space_group_symop_operation_xyz
'x,y,z'
'x,-y,z'
'x+1/2,y+1/2,z'
'x+1/2,-y+1/2,z'
loop_
_atom_site_label
_atom_site_type_symbol
_atom_site_fract_x
_atom_site_fract_y
_atom_site_fract_z
Sb1 Sb 0.0000 0.0000 0.0000
P1 P 0.0700 0.5000 0.6013
P2 P 0.2634 0.5000 0.3497
W1 W 0.2829 0.0000 0.6736
```

Results
crystal system	monoclinic
volume	18.889	Å³/atom
total DFT energy (no corrections)	-1.1699	hartree per atom

---

Quick rundown of E_form (uncorrected), same order as above: 0.664, 0.448, 0.665, 0.869, -0.704, -0.661, 0.215, 0.658, 0.187, 0.226, 0.500, 0.375, 0.244, 0.268, 0.102 eV/atom